First-principles (GGA-PBE) data for a relaxed structure of HfCI2, as listed in the Alexandria database.

a = 6.9931 Å, b = 6.9931 Å, c = 6.9931 Å
α = 90.00°, β = 90.00°, γ = 90.00°
Closest atoms and distances in Å follow each position.
Fractional coordinates of all 16 atoms:
Hf 0.0000 0.0000 0.0000  8 I 3.03
Hf 0.0000 0.5000 0.5000  8 I 3.03
Hf 0.5000 0.0000 0.5000  8 I 3.03
Hf 0.5000 0.5000 0.0000  8 I 3.03
C 0.0000 0.0000 0.5000  8 I 3.03
C 0.0000 0.5000 0.0000  8 I 3.03
C 0.5000 0.0000 0.0000  8 I 3.03
C 0.5000 0.5000 0.5000  8 I 3.03
I 0.2500 0.2500 0.2500  4 Hf 3.03, 4 C 3.03
I 0.2500 0.2500 0.7500  4 Hf 3.03, 4 C 3.03
I 0.2500 0.7500 0.2500  4 Hf 3.03, 4 C 3.03
I 0.2500 0.7500 0.7500  4 Hf 3.03, 4 C 3.03
I 0.7500 0.2500 0.2500  4 Hf 3.03, 4 C 3.03
I 0.7500 0.2500 0.7500  4 Hf 3.03, 4 C 3.03
I 0.7500 0.7500 0.2500  4 Hf 3.03, 4 C 3.03
I 0.7500 0.7500 0.7500  4 Hf 3.03, 4 C 3.03

**Formation energy from raw total energies**: 1.3566 eV per atom
**VASP energy**: -4.213 eV/atom
**N(E_F)**: 10.01 states/eV/cell
**Size of the total moment**: 0.000 μB per atom



First-principles (GGA-PBE) data for a relaxed structure of HfCI2, as listed in the Alexandria database.

a = 6.3111 Å, b = 6.3111 Å, c = 11.1278 Å
α = 90.00°, β = 90.00°, γ = 90.00°
Closest atoms and distances in Å follow each position.
Fractional coordinates of all 16 atoms:
Hf 0.0000 0.0000 0.0000  4 I 2.78
Hf 0.0000 0.5000 0.2500  4 I 2.78
Hf 0.5000 0.0000 0.7500  4 I 2.78
Hf 0.5000 0.5000 0.5000  4 I 2.78
C 0.0000 0.0000 0.5000  4 I 2.49
C 0.0000 0.5000 0.7500  4 I 2.49
C 0.5000 0.0000 0.2500  4 I 2.49
C 0.5000 0.5000 0.0000  4 I 2.49
I 0.2110 0.2500 0.6250  2 C 2.49, 2 Hf 2.78
I 0.2500 0.7110 0.8750  2 C 2.49, 2 Hf 2.78
I 0.2500 0.7890 0.3750  2 C 2.49, 2 Hf 2.78
I 0.2890 0.2500 0.1250  2 C 2.49, 2 Hf 2.78
I 0.7110 0.7500 0.1250  2 C 2.49, 2 Hf 2.78
I 0.7500 0.2110 0.3750  2 C 2.49, 2 Hf 2.78
I 0.7500 0.2890 0.8750  2 C 2.49, 2 Hf 2.78
I 0.7890 0.7500 0.6250  2 C 2.49, 2 Hf 2.78

**Formation energy from raw total energies**: 1.6539 eV per atom
**VASP energy**: -3.915 eV/atom
**N(E_F)**: 10.78 states/eV/cell
**Size of the total moment**: 0.000 μB per atom



First-principles (GGA-PBE) data for a relaxed structure of HfCI3, as listed in the Alexandria database.

a = 5.6567 Å, b = 5.6567 Å, c = 5.6567 Å
α = 90.00°, β = 90.00°, γ = 90.00°
Closest atoms and distances in Å follow each position.
Fractional coordinates of all 5 atoms:
Hf 0.0000 0.0000 0.0000  6 I 2.83
C 0.5000 0.5000 0.5000  12 I 4.00
I 0.0000 0.0000 0.5000  2 Hf 2.83
I 0.0000 0.5000 0.0000  2 Hf 2.83
I 0.5000 0.0000 0.0000  2 Hf 2.83

**Formation energy from raw total energies**: 1.0429 eV per atom
**VASP energy**: -3.723 eV/atom
**N(E_F)**: 9.41 states/eV/cell
**Size of the total moment**: 0.520 μB per atom



First-principles (GGA-PBE) data for a relaxed structure of Hf3CI, as listed in the Alexandria database.

a = 4.5913 Å, b = 4.5913 Å, c = 4.5913 Å
α = 90.00°, β = 90.00°, γ = 90.00°
Closest atoms and distances in Å follow each position.
Fractional coordinates of all 5 atoms:
Hf 0.0000 0.0000 0.5000  2 C 2.30
Hf 0.0000 0.5000 0.0000  2 C 2.30
Hf 0.5000 0.0000 0.0000  2 C 2.30
C 0.0000 0.0000 0.0000  6 Hf 2.30
I 0.5000 0.5000 0.5000  12 Hf 3.25

**Formation energy from raw total energies**: 0.1623 eV per atom
**VASP energy**: -7.965 eV/atom
**N(E_F)**: 3.94 states/eV/cell
**Size of the total moment**: 0.000 μB per atom



First-principles (GGA-PBE) data for a relaxed structure of HfC2I2, as listed in the Alexandria database.

a = 7.6361 Å, b = 7.6361 Å, c = 3.5787 Å
α = 90.00°, β = 90.00°, γ = 90.00°
Closest atoms and distances in Å follow each position.
Fractional coordinates of all 10 atoms:
Hf 0.0000 0.0000 0.0000  4 I 2.88
Hf 0.5000 0.5000 0.0000  4 I 2.88
C 0.2215 0.2785 0.5000  2 I 2.22
C 0.2785 0.7785 0.5000  2 I 2.22
C 0.7215 0.2215 0.5000  2 I 2.22
C 0.7785 0.7215 0.5000  2 I 2.22
I 0.1566 0.6566 0.0000  2 C 2.22
I 0.3434 0.1566 0.0000  2 C 2.22
I 0.6566 0.8434 0.0000  2 C 2.22
I 0.8434 0.3434 0.0000  2 C 2.22

**Formation energy from raw total energies**: 2.0746 eV per atom
**VASP energy**: -4.226 eV/atom
**N(E_F)**: 7.61 states/eV/cell
**Size of the total moment**: 0.000 μB per atom



First-principles (GGA-PBE) data for a relaxed structure of LaHfC2I, as listed in the Alexandria database.

a = 4.6333 Å, b = 4.6333 Å, c = 5.2135 Å
α = 90.00°, β = 90.00°, γ = 90.00°
Closest atoms and distances in Å follow each position.
Fractional coordinates of all 5 atoms:
La 0.0000 0.0000 0.0000  4 Hf 3.28, 8 C 3.49
Hf 0.5000 0.5000 0.0000  2 I 2.61
C 0.0000 0.5000 0.5000  2 I 2.32
C 0.5000 0.0000 0.5000  2 I 2.32
I 0.5000 0.5000 0.5000  4 C 2.32

**Formation energy from raw total energies**: 2.2680 eV per atom
**VASP energy**: -4.708 eV/atom
**N(E_F)**: 8.28 states/eV/cell
**Size of the total moment**: 0.004 μB per atom



First-principles (GGA-PBE) data for a relaxed structure of HfMoCI2, as listed in the Alexandria database.

a = 5.3690 Å, b = 5.3690 Å, c = 5.1072 Å
α = 90.00°, β = 90.00°, γ = 90.00°
Closest atoms and distances in Å follow each position.
Fractional coordinates of all 5 atoms:
Hf 0.0000 0.0000 0.0000  2 Mo 2.55
Mo 0.0000 0.0000 0.5000  2 Hf 2.55, 4 I 2.68
C 0.5000 0.5000 0.0000  8 I 3.71, 4 Hf 3.80
I 0.0000 0.5000 0.5000  2 Mo 2.68
I 0.5000 0.0000 0.5000  2 Mo 2.68

**Formation energy from raw total energies**: 2.0197 eV per atom
**VASP energy**: -4.602 eV/atom
**N(E_F)**: 4.02 states/eV/cell
**Size of the total moment**: 0.534 μB per atom



First-principles (GGA-PBE) data for a relaxed structure of HfCI2N, as listed in the Alexandria database.

a = 5.8249 Å, b = 5.8249 Å, c = 3.9756 Å
α = 90.00°, β = 90.00°, γ = 90.00°
Closest atoms and distances in Å follow each position.
Fractional coordinates of all 5 atoms:
Hf 0.0000 0.0000 0.0000  2 N 1.99
C 0.5000 0.5000 0.5000  8 I 3.53
I 0.0000 0.5000 0.0000  2 Hf 2.91
I 0.5000 0.0000 0.0000  2 Hf 2.91
N 0.0000 0.0000 0.5000  2 Hf 1.99

**Formation energy from raw total energies**: 1.1860 eV per atom
**VASP energy**: -4.935 eV/atom
**N(E_F)**: 4.82 states/eV/cell
**Size of the total moment**: 0.264 μB per atom



First-principles (GGA-PBE) data for a relaxed structure of HfCI2N, as listed in the Alexandria database.

a = 5.9075 Å, b = 5.9075 Å, c = 2.9832 Å
α = 90.00°, β = 90.00°, γ = 90.00°
Closest atoms and distances in Å follow each position.
Fractional coordinates of all 5 atoms:
Hf 0.0000 0.0000 0.0000  2 Hf 2.98, 8 I 3.31
C 0.5000 0.5000 0.5000  2 N 1.49
I 0.0000 0.5000 0.5000  2 C 2.95, 2 I 2.98
I 0.5000 0.0000 0.5000  2 C 2.95, 2 I 2.98
N 0.5000 0.5000 0.0000  2 C 1.49

**Formation energy from raw total energies**: 1.4154 eV per atom
**VASP energy**: -4.705 eV/atom
**N(E_F)**: 2.18 states/eV/cell
**Size of the total moment**: 0.000 μB per atom



First-principles (GGA-PBE) data for a relaxed structure of Hf2NiCI, as listed in the Alexandria database.

a = 4.3565 Å, b = 4.3565 Å, c = 5.1054 Å
α = 90.00°, β = 90.00°, γ = 90.00°
Closest atoms and distances in Å follow each position.
Fractional coordinates of all 5 atoms:
Hf 0.0000 0.5000 0.0000  2 C 2.18
Hf 0.5000 0.0000 0.0000  2 C 2.18
Ni 0.0000 0.0000 0.5000  4 I 3.08, 8 Hf 3.36
C 0.5000 0.5000 0.0000  4 Hf 2.18
I 0.5000 0.5000 0.5000  2 C 2.55

**Formation energy from raw total energies**: 0.5838 eV per atom
**VASP energy**: -6.709 eV/atom
**N(E_F)**: 3.29 states/eV/cell
**Size of the total moment**: 0.000 μB per atom



First-principles (GGA-PBE) data for a relaxed structure of RbHfC2I, as listed in the Alexandria database.

a = 4.4646 Å, b = 4.4646 Å, c = 5.9411 Å
α = 90.00°, β = 90.00°, γ = 90.00°
Closest atoms and distances in Å follow each position.
Fractional coordinates of all 5 atoms:
Rb 0.0000 0.0000 0.0000  4 C 2.23
Hf 0.5000 0.5000 0.5000  4 I 3.16
C 0.0000 0.5000 0.0000  2 Rb 2.23
C 0.5000 0.0000 0.0000  2 Rb 2.23
I 0.0000 0.0000 0.5000  2 Rb 2.97, 4 Hf 3.16

**Formation energy from raw total energies**: 3.1739 eV per atom
**VASP energy**: -3.010 eV/atom
**N(E_F)**: 4.60 states/eV/cell
**Size of the total moment**: 0.052 μB per atom



First-principles (GGA-PBE) data for a relaxed structure of HfSb2CI, as listed in the Alexandria database.

a = 5.5604 Å, b = 5.5604 Å, c = 5.5737 Å
α = 90.00°, β = 90.00°, γ = 90.00°
Closest atoms and distances in Å follow each position.
Fractional coordinates of all 5 atoms:
Hf 0.0000 0.0000 0.0000  4 Sb 2.78, 2 I 2.79
Sb 0.0000 0.5000 0.0000  2 Hf 2.78
Sb 0.5000 0.0000 0.0000  2 Hf 2.78
C 0.5000 0.5000 0.5000  4 I 3.93, 8 Sb 3.94
I 0.0000 0.0000 0.5000  2 Hf 2.79

**Formation energy from raw total energies**: 1.5088 eV per atom
**VASP energy**: -4.286 eV/atom
**N(E_F)**: 5.98 states/eV/cell
**Size of the total moment**: 0.322 μB per atom



First-principles (GGA-PBE) data for a relaxed structure of HfSb2CI, as listed in the Alexandria database.

a = 4.7264 Å, b = 4.7264 Å, c = 4.9106 Å
α = 90.00°, β = 90.00°, γ = 90.00°
Closest atoms and distances in Å follow each position.
Fractional coordinates of all 5 atoms:
Hf 0.0000 0.0000 0.0000  4 I 3.34, 8 Sb 3.41
Sb 0.0000 0.5000 0.5000  2 C 2.36
Sb 0.5000 0.0000 0.5000  2 C 2.36
C 0.5000 0.5000 0.5000  4 Sb 2.36, 2 I 2.46
I 0.5000 0.5000 0.0000  2 C 2.46

**Formation energy from raw total energies**: 0.9999 eV per atom
**VASP energy**: -4.795 eV/atom
**N(E_F)**: 2.79 states/eV/cell
**Size of the total moment**: 0.000 μB per atom



First-principles (GGA-PBE) data for a relaxed structure of HfTeCI2, as listed in the Alexandria database.

a = 5.6995 Å, b = 5.6995 Å, c = 5.5574 Å
α = 90.00°, β = 90.00°, γ = 90.00°
Closest atoms and distances in Å follow each position.
Fractional coordinates of all 5 atoms:
Hf 0.0000 0.0000 0.0000  2 Te 2.78, 4 I 2.85
Te 0.0000 0.0000 0.5000  2 Hf 2.78
C 0.5000 0.5000 0.5000  8 I 3.98, 4 Te 4.03
I 0.0000 0.5000 0.0000  2 Hf 2.85
I 0.5000 0.0000 0.0000  2 Hf 2.85

**Formation energy from raw total energies**: 1.1005 eV per atom
**VASP energy**: -3.983 eV/atom
**N(E_F)**: 7.40 states/eV/cell
**Size of the total moment**: 0.393 μB per atom



First-principles (GGA-PBE) data for a relaxed structure of HfTeCI2, as listed in the Alexandria database.

a = 4.8255 Å, b = 4.8255 Å, c = 4.9994 Å
α = 90.00°, β = 90.00°, γ = 90.00°
Closest atoms and distances in Å follow each position.
Fractional coordinates of all 5 atoms:
Hf 0.0000 0.0000 0.0000  4 Te 3.41, 8 I 3.47
Te 0.5000 0.5000 0.0000  2 C 2.50
C 0.5000 0.5000 0.5000  4 I 2.41, 2 Te 2.50
I 0.0000 0.5000 0.5000  2 C 2.41
I 0.5000 0.0000 0.5000  2 C 2.41

**Formation energy from raw total energies**: 1.1443 eV per atom
**VASP energy**: -3.940 eV/atom
**N(E_F)**: 3.53 states/eV/cell
**Size of the total moment**: 0.128 μB per atom



First-principles (GGA-PBE) data for a relaxed structure of YHfC2I, as listed in the Alexandria database.

a = 4.3526 Å, b = 4.3526 Å, c = 5.5723 Å
α = 90.00°, β = 90.00°, γ = 90.00°
Closest atoms and distances in Å follow each position.
Fractional coordinates of all 5 atoms:
Y 0.0000 0.0000 0.0000  4 I 3.08
Hf 0.5000 0.5000 0.5000  4 C 2.18
C 0.0000 0.5000 0.5000  2 Hf 2.18
C 0.5000 0.0000 0.5000  2 Hf 2.18
I 0.5000 0.5000 0.0000  2 Hf 2.79, 4 Y 3.08

**Formation energy from raw total energies**: 0.8374 eV per atom
**VASP energy**: -6.446 eV/atom
**N(E_F)**: 2.57 states/eV/cell
**Size of the total moment**: 0.000 μB per atom



First-principles (GGA-PBE) data for a relaxed structure of HfInC2, as listed in the Alexandria database.

a = 5.4022 Å, b = 5.4022 Å, c = 9.0172 Å
α = 90.00°, β = 90.00°, γ = 90.00°
Closest atoms and distances in Å follow each position.
Fractional coordinates of all 16 atoms:
Hf 0.0000 0.0000 0.0000  4 C 2.17
Hf 0.0000 0.5000 0.2500  4 C 2.17
Hf 0.5000 0.0000 0.7500  4 C 2.17
Hf 0.5000 0.5000 0.5000  4 C 2.17
In 0.0000 0.0000 0.5000  4 C 2.27
In 0.0000 0.5000 0.7500  4 C 2.27
In 0.5000 0.0000 0.2500  4 C 2.27
In 0.5000 0.5000 0.0000  4 C 2.27
C 0.2346 0.2500 0.1250  2 Hf 2.17, 2 In 2.27
C 0.2500 0.7346 0.3750  2 Hf 2.17, 2 In 2.27
C 0.2500 0.7654 0.8750  2 Hf 2.17, 2 In 2.27
C 0.2654 0.2500 0.6250  2 Hf 2.17, 2 In 2.27
C 0.7346 0.7500 0.6250  2 Hf 2.17, 2 In 2.27
C 0.7500 0.2346 0.8750  2 Hf 2.17, 2 In 2.27
C 0.7500 0.2654 0.3750  2 Hf 2.17, 2 In 2.27
C 0.7654 0.7500 0.1250  2 Hf 2.17, 2 In 2.27

**ΔE_f**: 0.6240 eV/atom
**VASP energy**: -7.161 eV/atom
**N(E_F)**: 8.97 states/eV/cell
**Size of the total moment**: 0.000 μB per atom



First-principles (GGA-PBE) data for a relaxed structure of Hf6In2C, as listed in the Alexandria database.

a = 6.3448 Å, b = 6.3448 Å, c = 6.3448 Å
α = 119.94°, β = 119.94°, γ = 90.11°
Closest atoms and distances in Å follow each position.
Fractional coordinates of all 9 atoms:
Hf 0.2456 0.2456 0.0000  1 C 2.28
Hf 0.2461 0.2461 0.4922  1 C 2.28
Hf 0.2461 0.7539 0.0000  1 C 2.28
Hf 0.7539 0.2461 0.0000  1 C 2.28
Hf 0.7544 0.7544 0.0000  1 C 2.28
Hf 0.7539 0.7539 0.5078  1 C 2.28
In 0.2500 0.7500 0.5000  12 Hf 3.17-3.18
In 0.7500 0.2500 0.5000  12 Hf 3.17-3.18
C 0.5000 0.5000 0.0000  6 Hf 2.28

**ΔE_f**: -0.2886 eV/atom
**VASP energy**: -8.558 eV/atom
**N(E_F)**: 13.97 states/eV/cell
**Size of the total moment**: 0.000 μB per atom



First-principles (GGA-PBE) data for a relaxed structure of Hf7In2C2, as listed in the Alexandria database.

a = 6.0495 Å, b = 6.0495 Å, c = 7.6432 Å
α = 95.02°, β = 95.02°, γ = 111.00°
Closest atoms and distances in Å follow each position.
Fractional coordinates of all 11 atoms:
Hf 0.0000 0.0000 0.0000  2 C 2.29
Hf 0.0861 0.5082 0.8260  1 C 2.16
Hf 0.4021 0.4021 0.1787  2 C 2.24-2.25
Hf 0.4918 0.9139 0.1740  1 C 2.16
Hf 0.5082 0.0861 0.8260  1 C 2.16
Hf 0.5979 0.5979 0.8213  2 C 2.24-2.25
Hf 0.9139 0.4918 0.1740  1 C 2.16
In 0.2990 0.7010 0.5000  6 Hf 3.04-3.16
In 0.7010 0.2990 0.5000  6 Hf 3.04-3.16
C 0.2898 0.2898 0.8861  5 Hf 2.16-2.29
C 0.7102 0.7102 0.1139  5 Hf 2.16-2.29

**ΔE_f**: 0.0974 eV/atom
**VASP energy**: -8.412 eV/atom
**N(E_F)**: 11.37 states/eV/cell
**Size of the total moment**: 0.001 μB per atom



First-principles (GGA-PBE) data for a relaxed structure of Hf2InC2, as listed in the Alexandria database.

a = 4.5180 Å, b = 4.5180 Å, c = 9.1883 Å
α = 90.00°, β = 90.00°, γ = 90.00°
Closest atoms and distances in Å follow each position.
Fractional coordinates of all 10 atoms:
Hf 0.0000 0.5000 0.2500  4 C 2.26
Hf 0.0000 0.5000 0.7500  4 C 2.26
Hf 0.5000 0.0000 0.2500  4 C 2.26
Hf 0.5000 0.0000 0.7500  4 C 2.26
In 0.0000 0.0000 0.0000  2 C 2.22
In 0.5000 0.5000 0.5000  2 C 2.22
C 0.0000 0.0000 0.2412  1 In 2.22, 4 Hf 2.26
C 0.0000 0.0000 0.7588  1 In 2.22, 4 Hf 2.26
C 0.5000 0.5000 0.2588  1 In 2.22, 4 Hf 2.26
C 0.5000 0.5000 0.7412  1 In 2.22, 4 Hf 2.26

**ΔE_f**: 0.0661 eV/atom
**VASP energy**: -8.153 eV/atom
**N(E_F)**: 4.40 states/eV/cell
**Size of the total moment**: 0.000 μB per atom